Record 1
SrTl2: optimized geometry, GGA-PBE.

abc: 5.4653 5.4653 5.4653
angles: 60.00 60.00 60.00
With the nearest neighbours (Å) after each atom.
Element x y z (fractional)
Sr: 0.0000 0.0000 0.0000  8 Tl 3.35
Tl: 0.7500 0.7500 0.7500  4 Sr 3.35
Tl: 0.2500 0.2500 0.2500  4 Sr 3.35

## Properties
Spin magnetization in μB/cell: 0.0
Calculated total energy in eV/atom: -2.1176
ΔE_f in eV per atom: 0.02
Density in Mg/m³: 7.1


Record 2
Sr5Tl3: optimized geometry, GGA-PBE.

abc: 4.1642 4.1642 18.1062
angles: 90.00 90.00 90.00
With the nearest neighbours (Å) after each atom.
Element x y z (fractional)
Sr: 0.0000 0.0000 0.0000  8 Tl 3.59, 2 Sr 3.92
Sr: 0.0000 0.0000 0.2165  4 Tl 3.49
Sr: 0.0000 0.0000 0.7835  4 Tl 3.49
Sr: 0.5000 0.5000 0.3941  4 Tl 3.51, 1 Sr 3.83
Sr: 0.5000 0.5000 0.6059  4 Tl 3.51, 1 Sr 3.83
Tl: 0.0000 0.0000 0.5000  8 Sr 3.51
Tl: 0.5000 0.5000 0.1133  8 Sr 3.49-3.59
Tl: 0.5000 0.5000 0.8867  8 Sr 3.49-3.59

## Properties
Energy above the most stable polymorph in this dataset in meV/atom: 0.0
Spin magnetization in μB/cell: 0.0
Calculated total energy in eV/atom: -2.2725
ΔE_f in eV per atom: -0.33
Density in Mg/m³: 5.6


Record 3
Sr3Tl5: optimized geometry, GGA-PBE.

abc: 5.5989 7.0233 7.0233
angles: 105.98 90.00 90.00
With the nearest neighbours (Å) after each atom.
Element x y z (fractional)
Sr: 0.0000 0.5000 0.5000  8 Tl 3.41-3.51
Sr: 0.5000 0.7730 0.2270  10 Tl 3.41-3.78
Sr: 0.5000 0.2270 0.7730  10 Tl 3.41-3.78
Tl: 0.0000 0.0000 0.0000  8 Tl 3.51-3.61, 4 Sr 3.78
Tl: 0.0000 0.5000 0.0000  2 Tl 3.51, 6 Sr 3.51-3.52
Tl: 0.0000 0.0000 0.5000  6 Sr 3.51-3.52, 2 Tl 3.51
Tl: 0.5000 0.7311 0.7311  6 Sr 3.41-3.63, 2 Tl 3.61
Tl: 0.5000 0.2689 0.2689  6 Sr 3.41-3.63, 2 Tl 3.61

## Properties
Energy above the most stable polymorph in this dataset in meV/atom: 25.8
Spin magnetization in μB/cell: 0.0
Calculated total energy in eV/atom: -2.4425
ΔE_f in eV per atom: -0.33
Density in Mg/m³: 8.0


Record 4
SrTl2: optimized geometry, GGA-PBE.

abc: 9.7972 9.7972 9.7972
angles: 151.36 151.36 40.95
With the nearest neighbours (Å) after each atom.
Element x y z (fractional)
Sr: 0.0000 0.0000 0.0000  12 Tl 3.73-3.94
Sr: 0.7500 0.2500 0.5000  12 Tl 3.73-3.94
Tl: 0.5806 0.5806 0.0000  3 Tl 2.92-2.96
Tl: 0.1694 0.6694 0.5000  3 Tl 2.92-2.96
Tl: 0.4194 0.4194 0.0000  3 Tl 2.92-2.96
Tl: 0.3306 0.8306 0.5000  3 Tl 2.92-2.96

## Properties
Spin magnetization in μB/cell: 0.0
Calculated total energy in eV/atom: -2.3456
ΔE_f in eV per atom: -0.21
Density in Mg/m³: 7.6


Record 5
Sr5Tl3: optimized geometry, GGA-PBE.

abc: 10.2160 10.2160 7.0770
angles: 90.00 90.00 120.00
With the nearest neighbours (Å) after each atom.
Element x y z (fractional)
Sr: 0.3333 0.6667 0.0000  2 Sr 3.54, 6 Tl 3.61
Sr: 0.6667 0.3333 0.5000  2 Sr 3.54, 6 Tl 3.61
Sr: 0.6667 0.3333 0.0000  2 Sr 3.54, 6 Tl 3.61
Sr: 0.3333 0.6667 0.5000  2 Sr 3.54, 6 Tl 3.61
Sr: 0.2674 0.0000 0.2500  5 Tl 3.48-3.76
Sr: 0.7326 0.0000 0.7500  5 Tl 3.48-3.76
Sr: 0.0000 0.2674 0.2500  5 Tl 3.48-3.76
Sr: 0.7326 0.7326 0.2500  5 Tl 3.48-3.76
Sr: 0.2674 0.2674 0.7500  5 Tl 3.48-3.76
Sr: 0.0000 0.7326 0.7500  5 Tl 3.48-3.76
Tl: 0.6079 0.0000 0.2500  9 Sr 3.48-3.76
Tl: 0.3921 0.0000 0.7500  9 Sr 3.48-3.76
Tl: 0.0000 0.6079 0.2500  9 Sr 3.48-3.76
Tl: 0.3921 0.3921 0.2500  9 Sr 3.48-3.76
Tl: 0.6079 0.6079 0.7500  9 Sr 3.48-3.76
Tl: 0.0000 0.3921 0.7500  9 Sr 3.48-3.76

## Properties
Energy above the most stable polymorph in this dataset in meV/atom: 15.7
Spin magnetization in μB/cell: 0.0
Calculated total energy in eV/atom: -2.2569
ΔE_f in eV per atom: -0.32
Density in Mg/m³: 5.5


Record 6
SrTl2: optimized geometry, GGA-PBE.

abc: 5.2073 5.2073 8.3584
angles: 90.00 90.00 120.00
With the nearest neighbours (Å) after each atom.
Element x y z (fractional)
Sr: 0.0000 0.0000 0.2500  6 Tl 3.45
Sr: 0.0000 0.0000 0.7500  6 Tl 3.45
Tl: 0.3333 0.6667 0.4516  4 Tl 3.11-3.37, 3 Sr 3.45
Tl: 0.6667 0.3333 0.9516  4 Tl 3.11-3.37, 3 Sr 3.45
Tl: 0.6667 0.3333 0.5484  4 Tl 3.11-3.37, 3 Sr 3.45
Tl: 0.3333 0.6667 0.0484  4 Tl 3.11-3.37, 3 Sr 3.45

## Properties
Spin magnetization in μB/cell: 0.0
Calculated total energy in eV/atom: -2.4764
ΔE_f in eV per atom: -0.34
Density in Mg/m³: 8.4


| no. | V (A^3/atom) |
| --- | --- |
| 1 | 38.5 |
| 2 | 39.2 |
| 3 | 33.2 |
| 4 | 35.9 |
| 5 | 40.0 |
| 6 | 32.7 |